Entry 1:
# PBE NaSr2OsC, optimized geometry
data_NaSr2OsC
_symmetry_space_group_name_H-M 'P 4/m m m'
_symmetry_Int_Tables_number 123
_symmetry_space_group_name_Hall '-P 4 2'
_cell_length_a 5.6132
_cell_length_b 5.6132
_cell_length_c 3.9620
_cell_angle_alpha 90.00
_cell_angle_beta 90.00
_cell_angle_gamma 90.00
loop_
_atom_site_label
_atom_site_fract_x
_atom_site_fract_y
_atom_site_fract_z
Na1 0.0000 0.0000 0.0000
Sr1 0.0000 0.5000 0.5000
Os1 0.5000 0.5000 0.0000
C1 0.5000 0.5000 0.5000
# Energy: -4.841 eV per atom
# Volume: 25.0 Å³ per atom
# E_form: 0.187 eV per atom



Entry 2:
# PBE TmBe12Ni6, optimized geometry
data_TmBe12Ni6
_symmetry_space_group_name_H-M 'R -3 m'
_symmetry_Int_Tables_number 166
_symmetry_space_group_name_Hall '-R 3 2"'
_cell_length_a 9.3776
_cell_length_b 9.3776
_cell_length_c 7.8156
_cell_angle_alpha 90.00
_cell_angle_beta 90.00
_cell_angle_gamma 120.00
loop_
_atom_site_label
_atom_site_fract_x
_atom_site_fract_y
_atom_site_fract_z
Tm1 0.0000 0.0000 0.0000
Be1 0.0000 0.3885 0.5000
Be2 0.0963 0.1926 0.3166
Ni1 0.0470 0.5235 0.2574
# Energy: -4.517 eV per atom
# Volume: 10.4 Å³ per atom
# E_form: -0.102 eV per atom



Entry 3:
# PBE NaSrYCr2, optimized geometry
data_NaSrYCr2
_symmetry_space_group_name_H-M 'P 4/m m m'
_symmetry_Int_Tables_number 123
_symmetry_space_group_name_Hall '-P 4 2'
_cell_length_a 5.3228
_cell_length_b 5.3228
_cell_length_c 5.4695
_cell_angle_alpha 90.00
_cell_angle_beta 90.00
_cell_angle_gamma 90.00
loop_
_atom_site_label
_atom_site_fract_x
_atom_site_fract_y
_atom_site_fract_z
Na1 0.0000 0.0000 0.0000
Sr1 0.0000 0.0000 0.5000
Y1 0.5000 0.5000 0.5000
Cr1 0.0000 0.5000 0.0000
# Energy: -4.485 eV per atom
# Volume: 31.0 Å³ per atom
# E_form: 1.258 eV per atom



Entry 4:
# PBE Tb4Ru, optimized geometry
data_Tb4Ru
_symmetry_space_group_name_H-M 'P m -3 m'
_symmetry_Int_Tables_number 221
_symmetry_space_group_name_Hall '-P 4 2 3'
_cell_length_a 5.4071
_cell_length_b 5.4071
_cell_length_c 5.4071
_cell_angle_alpha 90.00
_cell_angle_beta 90.00
_cell_angle_gamma 90.00
loop_
_atom_site_label
_atom_site_fract_x
_atom_site_fract_y
_atom_site_fract_z
Tb1 0.0000 0.0000 0.0000
Tb2 0.0000 0.5000 0.5000
Ru1 0.5000 0.5000 0.5000
# Energy: -5.595 eV per atom
# Volume: 31.6 Å³ per atom
# E_form: -0.036 eV per atom



Entry 5:
# PBE Nd2Th2As5, optimized geometry
data_Nd2Th2As5
_symmetry_space_group_name_H-M 'C m c e'
_symmetry_Int_Tables_number 64
_symmetry_space_group_name_Hall '-C 2ac 2'
_cell_length_a 14.8305
_cell_length_b 7.9299
_cell_length_c 7.9727
_cell_angle_alpha 90.00
_cell_angle_beta 90.00
_cell_angle_gamma 90.00
loop_
_atom_site_label
_atom_site_fract_x
_atom_site_fract_y
_atom_site_fract_z
Nd1 0.0000 0.1553 0.1585
Th1 0.1948 0.0000 0.5000
As1 0.0000 0.0000 0.5000
As2 0.1416 0.1568 0.8463
# Energy: -6.534 eV per atom
# Volume: 26.0 Å³ per atom
# E_form: -1.243 eV per atom



Entry 6:
# PBE Tb4PrHo3, optimized geometry
data_Tb4PrHo3
_symmetry_space_group_name_H-M 'C m m m'
_symmetry_Int_Tables_number 65
_symmetry_space_group_name_Hall '-C 2 2'
_cell_length_a 5.6777
_cell_length_b 26.0905
_cell_length_c 3.5621
_cell_angle_alpha 90.00
_cell_angle_beta 90.00
_cell_angle_gamma 90.00
loop_
_atom_site_label
_atom_site_fract_x
_atom_site_fract_y
_atom_site_fract_z
Tb1 0.0000 0.1056 0.0000
Tb2 0.0000 0.2245 0.0000
Pr1 0.0000 0.0000 0.5000
Ho1 0.0000 0.3448 0.5000
Ho2 0.0000 0.5000 0.0000
# Energy: -4.405 eV per atom
# E above lowest polymorph: 210 meV/atom
# Volume: 33.0 Å³ per atom
# E_form: 0.224 eV per atom



Entry 7:
# PBE Tc2SbTe, optimized geometry
data_Tc2SbTe
_symmetry_space_group_name_H-M 'I m m 2'
_symmetry_Int_Tables_number 44
_cell_length_a 3.2658
_cell_length_b 4.4727
_cell_length_c 10.3015
_cell_angle_alpha 90.00
_cell_angle_beta 90.00
_cell_angle_gamma 90.00
loop_
_symmetry_equiv_pos_as_xyz
'x,y,z'
'-x,-y,z'
'-x,y,z'
'x,-y,z'
'x+1/2,y+1/2,z+1/2'
'-x+1/2,-y+1/2,z+1/2'
'-x+1/2,y+1/2,z+1/2'
'x+1/2,-y+1/2,z+1/2'
loop_
_atom_site_label
_atom_site_fract_x
_atom_site_fract_y
_atom_site_fract_z
Tc1 0.0000 0.0000 0.0000
Tc2 0.0000 0.5000 0.2185
Sb1 0.0000 0.0000 0.4909
Te1 0.0000 0.5000 0.7144
# Formation energy (no corrections): 0.437 eV per atom
# Energy: -6.562 eV per atom
# E above lowest polymorph: 327 meV/atom
# Volume: 18.8 Å³ per atom



Entry 8:
# PBE ThSO, optimized geometry
data_ThSO
_symmetry_space_group_name_H-M 'I 4/m m m'
_symmetry_Int_Tables_number 139
_symmetry_space_group_name_Hall '-I 4 2'
_cell_length_a 3.8564
_cell_length_b 3.8564
_cell_length_c 14.5080
_cell_angle_alpha 90.00
_cell_angle_beta 90.00
_cell_angle_gamma 90.00
loop_
_atom_site_label
_atom_site_fract_x
_atom_site_fract_y
_atom_site_fract_z
Th1 0.0000 0.0000 0.1078
S1 0.0000 0.0000 0.3162
O1 0.0000 0.5000 0.0000
# Formation energy (no corrections): -2.634 eV per atom
# Energy: -8.136 eV per atom
# Volume: 18.0 Å³ per atom



Entry 9:
# PBE Hg2As2S5, optimized geometry
data_Hg2As2S5
_symmetry_space_group_name_H-M 'C 1 2/m 1'
_symmetry_Int_Tables_number 12
_cell_length_a 20.6632
_cell_length_b 3.5993
_cell_length_c 6.6914
_cell_angle_alpha 90.00
_cell_angle_beta 101.20
_cell_angle_gamma 90.00
loop_
_symmetry_equiv_pos_as_xyz
'x,y,z'
'-x,-y,-z'
'-x,y,-z'
'x,-y,z'
'x+1/2,y+1/2,z'
'-x+1/2,-y+1/2,-z'
'-x+1/2,y+1/2,-z'
'x+1/2,-y+1/2,z'
loop_
_atom_site_label
_atom_site_fract_x
_atom_site_fract_y
_atom_site_fract_z
Hg1 0.0918 0.0000 0.4721
As1 0.1085 0.5000 0.0118
S1 0.0000 0.5000 0.5000
S2 0.1640 0.0000 0.8809
S3 0.1679 0.5000 0.3276
# Formation energy (no corrections): 0.017 eV per atom
# Energy: -3.376 eV per atom
# Volume: 27.1 Å³ per atom



Entry 10:
# PBE Ba2BeAg, optimized geometry
data_Ba2BeAg
_symmetry_space_group_name_H-M 'I m m 2'
_symmetry_Int_Tables_number 44
_cell_length_a 3.9907
_cell_length_b 5.6482
_cell_length_c 11.1083
_cell_angle_alpha 90.00
_cell_angle_beta 90.00
_cell_angle_gamma 90.00
loop_
_symmetry_equiv_pos_as_xyz
'x,y,z'
'-x,-y,z'
'-x,y,z'
'x,-y,z'
'x+1/2,y+1/2,z+1/2'
'-x+1/2,-y+1/2,z+1/2'
'-x+1/2,y+1/2,z+1/2'
'x+1/2,-y+1/2,z+1/2'
loop_
_atom_site_label
_atom_site_fract_x
_atom_site_fract_y
_atom_site_fract_z
Ba1 0.0000 0.0000 0.0000
Ba2 0.0000 0.5000 0.1911
Be1 0.0000 0.0000 0.4103
Ag1 0.0000 0.5000 0.7971
# Energy: -2.434 eV per atom
# Volume: 31.3 Å³ per atom
# E_form: 0.171 eV per atom



Entry 11:
# PBE Eu5P3ClO12, optimized geometry
data_Eu5P3ClO12
_symmetry_space_group_name_H-M 'P 63/m'
_symmetry_Int_Tables_number 176
_symmetry_space_group_name_Hall '-P 6c'
_cell_length_a 10.0039
_cell_length_b 10.0039
_cell_length_c 7.1864
_cell_angle_alpha 90.00
_cell_angle_beta 90.00
_cell_angle_gamma 120.00
loop_
_atom_site_label
_atom_site_fract_x
_atom_site_fract_y
_atom_site_fract_z
Eu1 0.0027 0.2522 0.2500
Eu2 0.3333 0.6667 0.0022
P1 0.0344 0.4078 0.7500
Cl1 0.0000 0.0000 0.0000
O1 0.0900 0.3579 0.5748
O2 0.1199 0.5886 0.7500
O3 0.1436 0.6621 0.2500
# Formation energy (no corrections): -2.820 eV per atom
# Energy: -8.961 eV per atom
# Volume: 14.8 Å³ per atom



Entry 12:
# PBE Nb2AlNi9, optimized geometry
data_Nb2AlNi9
_symmetry_space_group_name_H-M 'P 4/m m m'
_symmetry_Int_Tables_number 123
_symmetry_space_group_name_Hall '-P 4 2'
_cell_length_a 3.6569
_cell_length_b 3.6569
_cell_length_c 10.8699
_cell_angle_alpha 90.00
_cell_angle_beta 90.00
_cell_angle_gamma 90.00
loop_
_atom_site_label
_atom_site_fract_x
_atom_site_fract_y
_atom_site_fract_z
Nb1 0.0000 0.0000 0.1741
Al1 0.0000 0.0000 0.5000
Ni1 0.0000 0.5000 0.0000
Ni2 0.0000 0.5000 0.3380
Ni3 0.5000 0.5000 0.1675
Ni4 0.5000 0.5000 0.5000
# Energy: -6.643 eV per atom
# Volume: 12.1 Å³ per atom
# E_form: -0.316 eV per atom



Entry 13:
# PBE La2ErCd2, optimized geometry
data_La2ErCd2
_symmetry_space_group_name_H-M 'P 1 21/m 1'
_symmetry_Int_Tables_number 11
_cell_length_a 3.7560
_cell_length_b 5.4124
_cell_length_c 14.6989
_cell_angle_alpha 90.00
_cell_angle_beta 97.33
_cell_angle_gamma 90.00
loop_
_symmetry_equiv_pos_as_xyz
'x,y,z'
'-x,-y,-z'
'-x,y+1/2,-z'
'x,-y+1/2,z'
loop_
_atom_site_label
_atom_site_fract_x
_atom_site_fract_y
_atom_site_fract_z
La1 0.0412 0.2500 0.0817
La2 0.2328 0.2500 0.4675
Er1 0.1514 0.7500 0.3002
Cd1 0.3628 0.7500 0.7257
Cd2 0.4373 0.2500 0.8763
# Energy: -3.486 eV per atom
# E above lowest polymorph: 0 meV/atom
# Volume: 29.6 Å³ per atom
# E_form: -0.236 eV per atom



Entry 14:
# PBE SrLaPuO6, optimized geometry
data_SrLaPuO6
_symmetry_space_group_name_H-M 'P -3 1 c'
_symmetry_Int_Tables_number 163
_symmetry_space_group_name_Hall '-P 3 2c'
_cell_length_a 5.9976
_cell_length_b 5.9976
_cell_length_c 9.5677
_cell_angle_alpha 90.00
_cell_angle_beta 90.00
_cell_angle_gamma 120.00
loop_
_atom_site_label
_atom_site_fract_x
_atom_site_fract_y
_atom_site_fract_z
Sr1 0.3333 0.6667 0.2500
La1 0.0000 0.0000 0.0000
Pu1 0.3333 0.6667 0.7500
O1 0.0591 0.3790 0.6330
# Formation energy (no corrections): -2.815 eV per atom
# Energy: -8.447 eV per atom
# Volume: 16.6 Å³ per atom



Entry 15:
# PBE K2HfBe, optimized geometry
data_K2HfBe
_symmetry_space_group_name_H-M 'I -4 2 d'
_symmetry_Int_Tables_number 122
_symmetry_space_group_name_Hall 'I -4 2bw'
_cell_length_a 12.2537
_cell_length_b 12.2537
_cell_length_c 4.8307
_cell_angle_alpha 90.00
_cell_angle_beta 90.00
_cell_angle_gamma 90.00
loop_
_atom_site_label
_atom_site_fract_x
_atom_site_fract_y
_atom_site_fract_z
K1 0.0950 0.2500 0.1250
Hf1 0.0000 0.0000 0.5000
Be1 0.0000 0.0000 0.0000
# Energy: -2.669 eV per atom
# Volume: 45.3 Å³ per atom
# E_form: 1.300 eV per atom



Entry 16:
# PBE AlRh2AuBr, optimized geometry
data_AlRh2AuBr
_symmetry_space_group_name_H-M 'P 4/m m m'
_symmetry_Int_Tables_number 123
_symmetry_space_group_name_Hall '-P 4 2'
_cell_length_a 5.0362
_cell_length_b 5.0362
_cell_length_c 4.9786
_cell_angle_alpha 90.00
_cell_angle_beta 90.00
_cell_angle_gamma 90.00
loop_
_atom_site_label
_atom_site_fract_x
_atom_site_fract_y
_atom_site_fract_z
Al1 0.0000 0.0000 0.0000
Rh1 0.0000 0.5000 0.5000
Au1 0.5000 0.5000 0.5000
Br1 0.5000 0.5000 0.0000
# Formation energy (no corrections): 1.284 eV per atom
# Energy: -3.395 eV per atom
# Volume: 25.3 Å³ per atom



Entry 17:
# PBE Li5NdGa7, optimized geometry
data_Li5NdGa7
_symmetry_space_group_name_H-M 'I m m 2'
_symmetry_Int_Tables_number 44
_cell_length_a 5.3986
_cell_length_b 8.9727
_cell_length_c 9.0735
_cell_angle_alpha 90.00
_cell_angle_beta 90.00
_cell_angle_gamma 90.00
loop_
_symmetry_equiv_pos_as_xyz
'x,y,z'
'-x,-y,z'
'-x,y,z'
'x,-y,z'
'x+1/2,y+1/2,z+1/2'
'-x+1/2,-y+1/2,z+1/2'
'-x+1/2,y+1/2,z+1/2'
'x+1/2,-y+1/2,z+1/2'
loop_
_atom_site_label
_atom_site_fract_x
_atom_site_fract_y
_atom_site_fract_z
Li1 0.0000 0.0000 0.0000
Li2 0.2461 0.2499 0.4736
Nd1 0.0000 0.5000 0.7314
Ga1 0.0000 0.0000 0.4501
Ga2 0.0000 0.1510 0.7285
Ga3 0.0000 0.2185 0.2189
Ga4 0.0000 0.5000 0.0734
Ga5 0.0000 0.5000 0.3703
# Energy: -3.069 eV per atom
# Volume: 16.9 Å³ per atom
# E_form: -0.336 eV per atom



Entry 18:
# PBE YTl2SbS4, optimized geometry
data_YTl2SbS4
_symmetry_space_group_name_H-M 'I m m a'
_symmetry_Int_Tables_number 74
_symmetry_space_group_name_Hall '-I 2b 2'
_cell_length_a 8.3252
_cell_length_b 8.4789
_cell_length_c 11.8939
_cell_angle_alpha 90.00
_cell_angle_beta 90.00
_cell_angle_gamma 90.00
loop_
_atom_site_label
_atom_site_fract_x
_atom_site_fract_y
_atom_site_fract_z
Y1 0.2500 0.2500 0.2500
Tl1 0.0000 0.0000 0.0000
Tl2 0.2500 0.2500 0.7500
Sb1 0.0000 0.0000 0.5000
S1 0.0000 0.0327 0.2653
S2 0.2225 0.2500 0.4838
# Formation energy (no corrections): -0.873 eV per atom
# Energy: -4.852 eV per atom
# Volume: 26.2 Å³ per atom



Entry 19:
# PBE ZrHSeN2, optimized geometry
data_ZrHSeN2
_symmetry_space_group_name_H-M 'P 4/m m m'
_symmetry_Int_Tables_number 123
_symmetry_space_group_name_Hall '-P 4 2'
_cell_length_a 4.1231
_cell_length_b 4.1231
_cell_length_c 5.5957
_cell_angle_alpha 90.00
_cell_angle_beta 90.00
_cell_angle_gamma 90.00
loop_
_atom_site_label
_atom_site_fract_x
_atom_site_fract_y
_atom_site_fract_z
Zr1 0.0000 0.0000 0.0000
H1 0.5000 0.5000 0.5000
Se1 0.0000 0.0000 0.5000
N1 0.0000 0.5000 0.0000
# Energy: -5.398 eV per atom
# E above lowest polymorph: 186 meV/atom
# Volume: 19.0 Å³ per atom



Entry 20:
# PBE PaNb3Ge2, optimized geometry
data_PaNb3Ge2
_symmetry_space_group_name_H-M 'C 1 2/m 1'
_symmetry_Int_Tables_number 12
_cell_length_a 17.8511
_cell_length_b 3.6191
_cell_length_c 8.2366
_cell_angle_alpha 90.00
_cell_angle_beta 117.22
_cell_angle_gamma 90.00
loop_
_symmetry_equiv_pos_as_xyz
'x,y,z'
'-x,-y,-z'
'-x,y,-z'
'x,-y,z'
'x+1/2,y+1/2,z'
'-x+1/2,-y+1/2,-z'
'-x+1/2,y+1/2,-z'
'x+1/2,-y+1/2,z'
loop_
_atom_site_label
_atom_site_fract_x
_atom_site_fract_y
_atom_site_fract_z
Pa1 0.1399 0.0000 0.0545
Nb1 0.0562 0.0000 0.4105
Nb2 0.0932 0.5000 0.7072
Nb3 0.1843 0.5000 0.4398
Ge1 0.0218 0.5000 0.1603
Ge2 0.2107 0.0000 0.7294
# Energy: -8.457 eV per atom
# Volume: 19.7 Å³ per atom
# E_form: -0.301 eV per atom